Record 1
Density functional theory data (meta-GGA SCAN) for a PBEsol-optimized structure of NaSb2OsI.

The size of the total moment comes out at 2.657 μB per formula unit. The raw formation energy is 1.85 eV/atom.

It has space group P4/mmm (No. 123), with a = 5.2528 Å, b = 5.2528 Å, c = 5.2288 Å, α = 90.00°, β = 90.00° and γ = 90.00°. The distinct sites, in fractional coordinates, are Na at (0.0000, 0.0000, 0.0000), Sb at (0.0000, 0.5000, 0.0000), Os at (0.5000, 0.5000, 0.5000) and I at (0.0000, 0.0000, 0.5000).



Record 2
Density functional theory data (meta-GGA SCAN) for a PBEsol-optimized structure of NaPbI2.

The size of the total moment comes out at 0.000 μB per formula unit. The raw formation energy is -0.55 eV/atom.

It has space group Fm-3m (No. 225), with a = 7.9904 Å, b = 7.9904 Å, c = 7.9904 Å, α = 90.00°, β = 90.00° and γ = 90.00°. The distinct sites, in fractional coordinates, are Na at (0.0000, 0.0000, 0.0000), Pb at (0.0000, 0.0000, 0.5000) and I at (0.2500, 0.2500, 0.2500).



Record 3
Density functional theory data (meta-GGA SCAN) for a PBEsol-optimized structure of NaPbSI2.

The relative energy among the computed polymorphs is 0.348 eV per atom. The size of the total moment comes out at 1.001 μB per formula unit. The raw formation energy is -0.09 eV/atom.

It has space group P4/mmm (No. 123), with a = 5.6216 Å, b = 5.6216 Å, c = 5.0074 Å, α = 90.00°, β = 90.00° and γ = 90.00°. The distinct sites, in fractional coordinates, are Na at (0.0000, 0.0000, 0.0000), Pb at (0.5000, 0.5000, 0.5000), S at (0.0000, 0.0000, 0.5000) and I at (0.0000, 0.5000, 0.0000).



Record 4
Density functional theory data (meta-GGA SCAN) for a PBEsol-optimized structure of NaPbSI2.

The relative energy among the computed polymorphs is 0.000 eV per atom. The size of the total moment comes out at 0.000 μB per formula unit. The raw formation energy is -0.44 eV/atom.

It has space group P4/mmm (No. 123), with a = 6.1993 Å, b = 6.1993 Å, c = 5.0709 Å, α = 90.00°, β = 90.00° and γ = 90.00°. The distinct sites, in fractional coordinates, are Na at (0.0000, 0.0000, 0.0000), Pb at (0.5000, 0.5000, 0.5000), S at (0.5000, 0.5000, 0.0000) and I at (0.0000, 0.5000, 0.5000).



Record 5
Density functional theory data (meta-GGA SCAN) for a PBEsol-optimized structure of NaTaPbI2.

The size of the total moment comes out at 3.409 μB per formula unit. The raw formation energy is 1.11 eV/atom.

It has space group P4/mmm (No. 123), with a = 5.4280 Å, b = 5.4280 Å, c = 5.6583 Å, α = 90.00°, β = 90.00° and γ = 90.00°. The distinct sites, in fractional coordinates, are Na at (0.0000, 0.0000, 0.0000), Ta at (0.0000, 0.0000, 0.5000), Pb at (0.5000, 0.5000, 0.5000) and I at (0.0000, 0.5000, 0.0000).



Record 6
Density functional theory data (meta-GGA SCAN) for a PBEsol-optimized structure of NaPd3I.

The size of the total moment comes out at 0.000 μB per formula unit. The raw formation energy is 0.88 eV/atom.

It has space group Pm-3m (No. 221), with a = 4.6550 Å, b = 4.6550 Å, c = 4.6550 Å, α = 90.00°, β = 90.00° and γ = 90.00°. The distinct sites, in fractional coordinates, are Na at (0.0000, 0.0000, 0.0000), Pd at (0.0000, 0.0000, 0.5000) and I at (0.5000, 0.5000, 0.5000).



Record 7
Density functional theory data (meta-GGA SCAN) for a PBEsol-optimized structure of Na2PdI.

The size of the total moment comes out at 0.000 μB per formula unit. The raw formation energy is -0.27 eV/atom.

It has space group Fm-3m (No. 225), with a = 7.2116 Å, b = 7.2116 Å, c = 7.2116 Å, α = 90.00°, β = 90.00° and γ = 90.00°. The distinct sites, in fractional coordinates, are Na at (0.2500, 0.2500, 0.2500), Pd at (0.0000, 0.0000, 0.0000) and I at (0.0000, 0.0000, 0.5000).



Record 8
Density functional theory data (meta-GGA SCAN) for a PBEsol-optimized structure of NaSbPdI2.

The size of the total moment comes out at 0.633 μB per formula unit. The raw formation energy is -0.22 eV/atom.

It has space group P4/mmm (No. 123), with a = 5.6801 Å, b = 5.6801 Å, c = 5.0407 Å, α = 90.00°, β = 90.00° and γ = 90.00°. The distinct sites, in fractional coordinates, are Na at (0.0000, 0.0000, 0.0000), Sb at (0.5000, 0.5000, 0.0000), Pd at (0.5000, 0.5000, 0.5000) and I at (0.0000, 0.5000, 0.5000).



Record order is preserved below.
Ρ: 6.7 6.3 5.4 4.4 6.6 7.7 4.9 5.2 g/cm3